No. 1
DFT (PBE) results for a geometry-optimized Rb2AgC3S3N3 structure.

Output
Theoretical density: 2.7 g cm⁻³
Raw total energy: -290.2 eV per cell

Structure (POSCAR):
```
Rb2AgC3S3N3
1.0
9.2613 0.0000 0.0000
0.0000 15.9148 0.0000
-2.3431 0.0000 7.4303
Ag C N Rb S
4 12 12 8 12
direct
0.2446 0.2591 0.2289
0.7554 0.7591 0.2711
0.2446 0.2409 0.7289
0.7554 0.7409 0.7711
0.0550 0.8487 0.0042
0.5207 0.1894 0.0732
0.2550 0.4526 0.1215
0.7450 0.9526 0.3785
0.4793 0.6894 0.4268
0.9450 0.3487 0.4958
0.0550 0.6513 0.5042
0.5207 0.3106 0.5732
0.2550 0.0474 0.6215
0.7450 0.5474 0.8785
0.4793 0.8106 0.9268
0.9450 0.1513 0.9958
0.3256 0.4846 0.0347
0.5792 0.1223 0.0960
0.1441 0.8392 0.1486
0.8559 0.3392 0.3514
0.4208 0.6223 0.4040
0.6744 0.9846 0.4653
0.3256 0.0154 0.5347
0.5792 0.3777 0.5960
0.1441 0.6608 0.6486
0.8559 0.1608 0.8514
0.4208 0.8777 0.9040
0.6744 0.5154 0.9653
0.1898 0.6566 0.0412
0.3554 0.9943 0.1747
0.6446 0.4943 0.3253
0.8102 0.1566 0.4588
0.1898 0.8434 0.5412
0.3554 0.5057 0.6747
0.6446 0.0057 0.8253
0.8102 0.3434 0.9588
0.4419 0.2833 0.0436
0.0647 0.1365 0.1972
0.1558 0.4107 0.2422
0.8442 0.9107 0.2578
0.9353 0.6365 0.3028
0.5581 0.7833 0.4564
0.4419 0.2167 0.5436
0.0647 0.3635 0.6972
0.1558 0.0893 0.7422
0.8442 0.5893 0.7578
0.9353 0.8635 0.8028
0.5581 0.7167 0.9564
```



No. 2
DFT (PBE) results for a geometry-optimized TlAgC2N2 structure.

Output
Theoretical density: 5.0 g cm⁻³
Raw total energy: -304.7 eV per cell

Structure (POSCAR):
```
TlAgC2N2
1.0
-1.1127 7.5896 -0.5053
-4.6629 -1.5914 -13.6344
-8.0264 -1.2883 2.8953
Ag C N Tl
8 16 16 8
direct
0.0000 0.0000 0.0000
0.5000 0.0000 0.0000
0.7961 0.8211 0.0461
0.2039 0.3211 0.4539
0.0000 0.5000 0.5000
0.5000 0.5000 0.5000
0.7961 0.6789 0.5461
0.2039 0.1789 0.9539
0.3489 0.1830 0.1577
0.8886 0.0684 0.1806
0.4766 0.9371 0.2131
0.9655 0.8360 0.2341
0.0345 0.3360 0.2659
0.5234 0.4371 0.2869
0.1114 0.5684 0.3194
0.6511 0.6830 0.3423
0.3489 0.3170 0.6577
0.8886 0.4316 0.6806
0.4766 0.5629 0.7131
0.9655 0.6640 0.7341
0.0345 0.1640 0.7659
0.5234 0.0629 0.7869
0.1114 0.9316 0.8194
0.6511 0.8170 0.8423
0.9456 0.3535 0.1560
0.5300 0.4107 0.1579
0.1687 0.6016 0.2078
0.5854 0.6793 0.2171
0.4146 0.1793 0.2829
0.8313 0.1016 0.2922
0.4700 0.9107 0.3421
0.0544 0.8535 0.3440
0.9456 0.1465 0.6560
0.5300 0.0893 0.6579
0.1687 0.8984 0.7078
0.5854 0.8207 0.7171
0.4146 0.3207 0.7829
0.8313 0.3984 0.7922
0.4700 0.5893 0.8421
0.0544 0.6465 0.8440
0.3026 0.7380 0.0267
0.7731 0.5475 0.0311
0.2269 0.0475 0.4689
0.6974 0.2380 0.4733
0.3026 0.7620 0.5267
0.7731 0.9525 0.5311
0.2269 0.4525 0.9689
0.6974 0.2620 0.9733
```



No. 3
DFT (PBE) results for a geometry-optimized Nb4AgC2S structure.

Output
Theoretical density: 7.6 g cm⁻³
Total moment: 0.0006 μB per atom
Raw total energy: -69.7 eV per cell

Structure (POSCAR):
```
Nb4AgC2S
1.0
-0.9713 -2.7344 1.4743
3.1030 0.3375 -0.9227
2.8313 5.1424 11.4028
Ag C Nb S
1 2 4 1
direct
0.0000 0.0000 0.0000
0.6667 0.3333 0.2658
0.6667 0.3333 0.7342
0.3333 0.6667 0.1816
0.0000 0.0000 0.3613
0.0000 0.0000 0.6387
0.3333 0.6667 0.8184
0.3333 0.6667 0.5000
```



Copy entry 2 word for word.
DFT (PBE) results for a geometry-optimized TlAgC2N2 structure.

Output
Theoretical density: 5.0 g cm⁻³
Raw total energy: -304.7 eV per cell

Structure (POSCAR):
```
TlAgC2N2
1.0
-1.1127 7.5896 -0.5053
-4.6629 -1.5914 -13.6344
-8.0264 -1.2883 2.8953
Ag C N Tl
8 16 16 8
direct
0.0000 0.0000 0.0000
0.5000 0.0000 0.0000
0.7961 0.8211 0.0461
0.2039 0.3211 0.4539
0.0000 0.5000 0.5000
0.5000 0.5000 0.5000
0.7961 0.6789 0.5461
0.2039 0.1789 0.9539
0.3489 0.1830 0.1577
0.8886 0.0684 0.1806
0.4766 0.9371 0.2131
0.9655 0.8360 0.2341
0.0345 0.3360 0.2659
0.5234 0.4371 0.2869
0.1114 0.5684 0.3194
0.6511 0.6830 0.3423
0.3489 0.3170 0.6577
0.8886 0.4316 0.6806
0.4766 0.5629 0.7131
0.9655 0.6640 0.7341
0.0345 0.1640 0.7659
0.5234 0.0629 0.7869
0.1114 0.9316 0.8194
0.6511 0.8170 0.8423
0.9456 0.3535 0.1560
0.5300 0.4107 0.1579
0.1687 0.6016 0.2078
0.5854 0.6793 0.2171
0.4146 0.1793 0.2829
0.8313 0.1016 0.2922
0.4700 0.9107 0.3421
0.0544 0.8535 0.3440
0.9456 0.1465 0.6560
0.5300 0.0893 0.6579
0.1687 0.8984 0.7078
0.5854 0.8207 0.7171
0.4146 0.3207 0.7829
0.8313 0.3984 0.7922
0.4700 0.5893 0.8421
0.0544 0.6465 0.8440
0.3026 0.7380 0.0267
0.7731 0.5475 0.0311
0.2269 0.0475 0.4689
0.6974 0.2380 0.4733
0.3026 0.7620 0.5267
0.7731 0.9525 0.5311
0.2269 0.4525 0.9689
0.6974 0.2620 0.9733
```



> Which of these has the lowest raw total energy?

TlAgC2N2